Entry from Alexandria: an optimized crystal structure of Cs2MnSnTe4 (PBEsol).

Structure (CIF):
```
data_Cs2MnSnTe4
_cell_length_a 6.6014
_cell_length_b 15.0351
_cell_length_c 25.3176
_cell_angle_alpha 90.00
_cell_angle_beta 90.00
_cell_angle_gamma 90.00
_symmetry_space_group_name_H-M 'F d d d'
_symmetry_Int_Tables_number 70
loop_
_symmetry_equiv_pos_as_xyz
'x,y,z'
'-x,-y,-z'
'-x+1/4,-y+1/4,z'
'x+1/4,y+1/4,-z'
'x,-y+1/4,-z+1/4'
'-x,y+1/4,z+1/4'
'-x+1/4,y,-z+1/4'
'x+1/4,-y,z+1/4'
'x,y+1/2,z+1/2'
'-x,-y+1/2,-z+1/2'
'-x+1/4,-y+3/4,z+1/2'
'x+1/4,y+3/4,-z+1/2'
'x,-y+3/4,-z+3/4'
'-x,y+3/4,z+3/4'
'-x+1/4,y+1/2,-z+3/4'
'x+1/4,-y+1/2,z+3/4'
'x+1/2,y,z+1/2'
'-x+1/2,-y,-z+1/2'
'-x+3/4,-y+1/4,z+1/2'
'x+3/4,y+1/4,-z+1/2'
'x+1/2,-y+1/4,-z+3/4'
'-x+1/2,y+1/4,z+3/4'
'-x+3/4,y,-z+3/4'
'x+3/4,-y,z+3/4'
'x+1/2,y+1/2,z'
'-x+1/2,-y+1/2,-z'
'-x+3/4,-y+3/4,z'
'x+3/4,y+3/4,-z'
'x+1/2,-y+3/4,-z+1/4'
'-x+1/2,y+3/4,z+1/4'
'-x+3/4,y+1/2,-z+1/4'
'x+3/4,-y+1/2,z+1/4'
loop_
_atom_site_label
_atom_site_type_symbol
_atom_site_fract_x
_atom_site_fract_y
_atom_site_fract_z
Cs1 Cs 0.1250 0.1250 0.3114
Mn1 Mn 0.1250 0.1250 0.6250
Sn1 Sn 0.1250 0.1250 0.1250
Te1 Te 0.1190 0.2747 0.8117
```

Summary:
Calculated total energy (eV per atom): -4.282
Density (g/cm³): 5.022
Uncorrected formation energy (eV per formula unit): -4.25
Spin magnetization (μB/f.u.): 5.0